Compound: Y4Ga2O9
Source: Alexandria via LeMat-Bulk
Functional: PBE
Structure: optimized geometry

Energy relative to the lowest polymorph listed for this composition in kcal/mol of atoms: 0.00
Energy relative to the elements, uncorrected in eV per atom: -2.994
Crystal system: monoclinic
Density of states at the Fermi level in states/eV per cell: 0.0

Structure (extended XYZ):
```
60
Lattice="7.4418 0.0000 0.0000 0.0000 10.6946 0.0000 -3.5465 0.0000 10.8884" Properties=species:S:1:pos:R:3 pbc="T T T"
Y -0.9179 1.0912 3.2675
Y -2.6911 4.2562 8.7117
Y -0.8657 6.6234 6.3507
Y 0.9075 9.4185 0.9066
Y -0.7836 1.3449 10.2267
Y 0.9896 4.0024 4.7825
Y 2.7905 6.5811 2.3940
Y 1.0172 9.4609 7.8382
Y 2.8781 1.2338 3.0502
Y 1.1049 4.1136 8.4943
Y 2.9057 6.6922 6.1058
Y 4.6789 9.3497 0.6616
Y 2.9878 1.2761 9.9818
Y 4.7611 4.0712 4.5376
Y 6.5864 6.4385 2.1767
Y 4.8132 9.6035 7.6209
Ga -0.6592 1.8361 6.8013
Ga 1.1141 3.5112 1.3571
Ga -0.6097 7.1490 9.7127
Ga 1.1635 8.8930 4.2685
Ga 2.7318 1.8017 6.6199
Ga 4.5051 3.5456 1.1757
Ga 2.7813 7.1834 9.5313
Ga 4.5545 8.8585 4.0871
O -1.1824 2.4998 5.1717
O -2.9557 2.8475 10.6159
O -0.8183 5.4329 4.2933
O -2.5915 10.6091 9.7374
O 0.6590 7.9689 2.7348
O -1.1143 8.0730 8.1789
O -0.7401 0.0490 7.1241
O 1.0331 5.2983 1.6799
O 0.7675 2.6128 2.9590
O -1.0058 2.7345 8.4032
O -0.7183 5.4016 9.1642
O 1.0549 10.6403 3.7201
O 2.5721 7.8451 0.4923
O 0.7988 8.1968 5.9364
O 1.0382 2.6264 6.6660
O 2.8114 2.7209 1.2218
O 1.0819 5.4281 6.6197
O 2.8551 10.6138 1.1755
O 1.0402 0.0808 9.7129
O 2.8134 5.2665 4.2687
O 1.0840 7.9738 9.6666
O 2.8572 8.0682 4.2224
O 3.0965 2.4978 4.9519
O 1.3233 2.8495 10.3961
O 2.8405 0.0543 7.1683
O 4.6137 5.2930 1.7241
O 4.9011 7.9601 2.4852
O 3.1279 8.0818 7.9294
O 2.8622 5.3963 9.2085
O 4.6355 10.6456 3.7643
O 5.0096 2.6216 2.7094
O 3.2364 2.7257 8.1536
O 6.4869 0.0856 1.1509
O 4.7136 5.2618 6.5951
O 6.8510 7.8471 0.2725
O 5.0778 8.1948 5.7167
```

Compound: Y2Ga2O
Source: Alexandria via LeMat-Bulk
Functional: PBE
Structure: optimized geometry

Energy relative to the lowest polymorph listed for this composition in kcal/mol of atoms: 4.65
Energy relative to the elements, uncorrected in eV per atom: -0.279
Crystal system: tetragonal
Density of states at the Fermi level in states/eV per cell: 4.4

Structure (extended XYZ):
```
5
Lattice="-2.9394 2.9394 3.3067 2.9394 -2.9394 3.3067 2.9394 2.9394 -3.3067" Properties=species:S:1:pos:R:3 pbc="T T T"
Y 2.9394 0.0000 1.6533
Y 0.0000 2.9394 1.6533
Ga 0.0000 0.0000 1.2638
Ga 0.0000 0.0000 5.3495
O 0.0000 0.0000 3.3067
```

Compound: YGa2O
Source: Alexandria via LeMat-Bulk
Functional: PBE
Structure: optimized geometry

Energy relative to the elements, uncorrected in eV per atom: -0.885
Crystal system: tetragonal
Density of states at the Fermi level in states/eV per cell: 6.1

Structure (extended XYZ):
```
8
Lattice="-4.3730 4.3730 2.1748 4.3730 -4.3730 2.1748 4.3730 4.3730 -2.1748" Properties=species:S:1:pos:R:3 pbc="T T T"
Y 0.0000 0.0000 0.0000
Y 0.0000 4.3730 1.0874
Ga 2.1865 -1.4528 1.6311
Ga 2.9202 2.1865 0.5437
Ga 2.1865 5.8259 -0.5437
Ga 1.4528 2.1865 2.7185
O 4.3730 0.0000 1.0874
O 0.0000 0.0000 2.1748
```

Compound: Y2GaO
Source: Alexandria via LeMat-Bulk
Functional: PBE
Structure: optimized geometry

Energy relative to the lowest polymorph listed for this composition in kcal/mol of atoms: 5.88
Energy relative to the elements, uncorrected in eV per atom: -1.276
Crystal system: trigonal
Density of states at the Fermi level in states/eV per cell: 2.2

Structure (extended XYZ):
```
4
Lattice="1.9752 1.1404 8.0114 -1.9752 1.1404 8.0114 0.0000 -2.2808 8.0114" Properties=species:S:1:pos:R:3 pbc="T T T"
Y 0.0000 0.0000 2.0308
Y 0.0000 0.0000 22.0034
Ga 0.0000 0.0000 12.0171
O 0.0000 0.0000 0.0000
```

Compound: Y4Ga2O9
Source: Alexandria via LeMat-Bulk
Functional: PBE
Structure: optimized geometry

Energy relative to the lowest polymorph listed for this composition in kcal/mol of atoms: 0.70
Energy relative to the elements, uncorrected in eV per atom: -2.964
Crystal system: orthorhombic
Density of states at the Fermi level in states/eV per cell: 0.0

Structure (extended XYZ):
```
60
Lattice="13.0182 0.0000 0.0000 0.0000 6.0229 0.0000 0.0000 0.0000 10.8302" Properties=species:S:1:pos:R:3 pbc="T T T"
Y 0.3140 1.4777 0.8278
Y 0.3140 4.5453 6.2429
Y 1.5811 1.4716 7.7206
Y 1.5811 4.5513 2.3055
Y 4.9280 1.5399 2.3055
Y 4.9280 4.4831 7.7206
Y 6.1951 1.5338 6.2429
Y 6.1951 4.4891 0.8278
Y 6.8231 1.5338 10.0024
Y 6.8231 4.4891 4.5873
Y 8.0902 1.5399 3.1096
Y 8.0902 4.4831 8.5247
Y 11.4371 1.4716 8.5247
Y 11.4371 4.5513 3.1096
Y 12.7043 1.4777 4.5873
Y 12.7043 4.5453 10.0024
Ga 3.1344 2.7088 5.0431
Ga 3.1344 3.3141 10.4582
Ga 3.3747 0.3026 10.4582
Ga 3.3747 5.7203 5.0431
Ga 9.6436 0.3026 5.7871
Ga 9.6436 5.7203 0.3720
Ga 9.8838 2.7088 0.3720
Ga 9.8838 3.3141 5.7871
O 0.0000 2.7339 2.7076
O 0.0000 3.2890 8.1227
O 0.3947 0.5830 9.4640
O 0.3947 5.4399 4.0489
O 1.3900 2.5766 5.7008
O 1.3900 3.4463 0.2857
O 2.3513 0.3735 1.1705
O 2.3513 5.6494 6.5856
O 3.1556 1.8070 9.3699
O 3.1556 4.2159 3.9548
O 3.3535 1.2045 3.9548
O 3.3535 4.8185 9.3699
O 4.1578 2.6379 6.5856
O 4.1578 3.3850 1.1705
O 5.1191 0.4349 0.2857
O 5.1191 5.5881 5.7008
O 6.1144 2.4284 4.0489
O 6.1144 3.5945 9.4640
O 6.5091 0.2775 8.1227
O 6.5091 5.7454 2.7076
O 6.9038 2.4284 1.3662
O 6.9038 3.5945 6.7813
O 7.8991 0.4349 5.1294
O 7.8991 5.5881 10.5445
O 8.8604 2.6379 9.6597
O 8.8604 3.3850 4.2446
O 9.6647 1.2045 1.4603
O 9.6647 4.8185 6.8754
O 9.8626 1.8070 6.8754
O 9.8626 4.2159 1.4603
O 10.6669 0.3735 4.2446
O 10.6669 5.6494 9.6597
O 11.6282 2.5766 10.5445
O 11.6282 3.4463 5.1294
O 12.6235 0.5830 6.7813
O 12.6235 5.4399 1.3662
```

Compound: Y2GaO
Source: Alexandria via LeMat-Bulk
Functional: PBE
Structure: optimized geometry

Energy relative to the lowest polymorph listed for this composition in kcal/mol of atoms: 18.66
Energy relative to the elements, uncorrected in eV per atom: -0.722
Crystal system: cubic
Density of states at the Fermi level in states/eV per cell: 8.2

Structure (extended XYZ):
```
4
Lattice="0.0000 3.4249 3.4249 3.4249 0.0000 3.4249 3.4249 3.4249 0.0000" Properties=species:S:1:pos:R:3 pbc="T T T"
Y 1.7124 1.7124 1.7124
Y 5.1373 5.1373 5.1373
Ga 0.0000 0.0000 0.0000
O 3.4249 3.4249 3.4249
```

Which value of energy relative to the elements, uncorrected does entry 5 give?
-2.964 eV per atom

Number 3 is which compound?
YGa2O

Copy entry 4 word for word.
Compound: Y2GaO
Source: Alexandria via LeMat-Bulk
Functional: PBE
Structure: optimized geometry

Energy relative to the lowest polymorph listed for this composition in kcal/mol of atoms: 5.88
Energy relative to the elements, uncorrected in eV per atom: -1.276
Crystal system: trigonal
Density of states at the Fermi level in states/eV per cell: 2.2

Structure (extended XYZ):
```
4
Lattice="1.9752 1.1404 8.0114 -1.9752 1.1404 8.0114 0.0000 -2.2808 8.0114" Properties=species:S:1:pos:R:3 pbc="T T T"
Y 0.0000 0.0000 2.0308
Y 0.0000 0.0000 22.0034
Ga 0.0000 0.0000 12.0171
O 0.0000 0.0000 0.0000
```